The following is a DFT calculation (PBE-GGA) of a geometry-optimized Dy2GeAu3 structure.

a b c (Å): 3.482 4.548 8.130
angles (deg): 90.00 90.00 90.00
Positions (direct):
1 Au 0.500 0.000 0.179
2 Au 0.500 0.500 0.651
3 Au 0.500 0.000 0.840
4 Dy 0.000 0.500 0.992
5 Dy 0.000 0.000 0.508
6 Ge 0.500 0.500 0.330

Values from the calculation:
Formation energy from the elements   -459 kJ/mol of formula units
Total energy   -0.17399 Ha/atom

=====

The following is a DFT calculation (PBE-GGA) of a geometry-optimized DyGeAu2 structure.

a b c (Å): 4.262 4.378 4.378
angles (deg): 90.00 90.00 90.00
Positions (direct):
1 Dy 0.500 0.500 0.500
2 Au 0.000 0.500 0.000
3 Au 0.000 0.000 0.500
4 Ge 0.500 0.000 0.000

Values from the calculation:
Formation energy from the elements   -202 kJ/mol of formula units
Total energy   -0.16419 Ha/atom

=====

The following is a DFT calculation (PBE-GGA) of a geometry-optimized DyGeAu structure.

a b c (Å): 3.518 3.518 5.780
angles (deg): 107.72 107.72 90.00
Positions (direct):
1 Ge 0.296 0.296 0.592
2 Au 0.943 0.943 0.886
3 Dy 0.611 0.611 0.221

Values from the calculation:
Formation energy from the elements   -141 kJ/mol of formula units
Total energy   -0.17103 Ha/atom

=====

The following is a DFT calculation (PBE-GGA) of a geometry-optimized DyGeAu structure.

a b c (Å): 4.463 7.805 14.365
angles (deg): 90.00 90.00 90.00
Positions (direct):
1 Dy 0.000 0.289 0.000
2 Dy 0.000 0.220 0.752
3 Dy 0.500 0.711 0.500
4 Dy 0.500 0.714 0.000
5 Dy 0.000 0.286 0.500
6 Dy 0.500 0.780 0.748
7 Dy 0.500 0.780 0.252
8 Dy 0.000 0.220 0.248
9 Ge 0.000 0.592 0.637
10 Ge 0.000 0.909 0.895
11 Ge 0.500 0.408 0.863
12 Ge 0.000 0.592 0.363
13 Ge 0.500 0.091 0.395
14 Ge 0.000 0.909 0.105
15 Ge 0.500 0.408 0.137
16 Ge 0.500 0.091 0.605
17 Au 0.500 0.417 0.350
18 Au 0.500 0.077 0.891
19 Au 0.000 0.923 0.391
20 Au 0.000 0.923 0.609
21 Au 0.500 0.417 0.650
22 Au 0.000 0.583 0.850
23 Au 0.000 0.583 0.150
24 Au 0.500 0.077 0.109

Values from the calculation:
Formation energy from the elements   -226 kJ/mol of formula units
Total energy   -0.18177 Ha/atom

=====

The following is a DFT calculation (PBE-GGA) of a geometry-optimized DyGeAu2 structure.

a b c (Å): 4.577 5.864 6.100
angles (deg): 90.00 90.00 90.00
Positions (direct):
1 Au 0.250 0.157 0.995
2 Au 0.250 0.157 0.505
3 Au 0.750 0.843 0.005
4 Au 0.750 0.843 0.495
5 Dy 0.750 0.385 0.750
6 Dy 0.250 0.615 0.250
7 Ge 0.750 0.252 0.250
8 Ge 0.250 0.748 0.750

Values from the calculation:
Formation energy from the elements   -232 kJ/mol of formula units
Total energy   -0.16701 Ha/atom

=====

The following is a DFT calculation (PBE-GGA) of a geometry-optimized Dy3Ge2Au structure.

a b c (Å): 4.322 11.496 11.613
angles (deg): 90.00 90.00 90.00
Positions (direct):
1 Dy 0.250 0.376 0.053
2 Dy 0.750 0.624 0.947
3 Dy 0.250 0.124 0.553
4 Dy 0.750 0.565 0.626
5 Dy 0.250 0.065 0.874
6 Dy 0.250 0.689 0.211
7 Dy 0.750 0.935 0.126
8 Dy 0.750 0.311 0.789
9 Dy 0.750 0.876 0.447
10 Dy 0.250 0.811 0.711
11 Dy 0.250 0.435 0.374
12 Dy 0.750 0.189 0.289
13 Ge 0.250 0.691 0.492
14 Ge 0.250 0.509 0.816
15 Ge 0.750 0.491 0.184
16 Ge 0.250 0.991 0.316
17 Ge 0.250 0.809 0.992
18 Ge 0.750 0.309 0.508
19 Ge 0.750 0.191 0.008
20 Ge 0.750 0.009 0.684
21 Au 0.250 0.132 0.132
22 Au 0.250 0.368 0.632
23 Au 0.750 0.632 0.368
24 Au 0.750 0.868 0.868

Values from the calculation:
Formation energy from the elements   -462 kJ/mol of formula units
Total energy   -0.19050 Ha/atom

=====

The following is a DFT calculation (PBE-GGA) of a geometry-optimized Dy2Ge3Au5 structure.

a b c (Å): 4.456 7.167 12.702
angles (deg): 90.00 100.10 90.00
Positions (direct):
1 Ge 0.227 0.212 0.454
2 Ge 0.393 0.057 0.787
3 Ge 0.773 0.712 0.546
4 Ge 0.607 0.557 0.213
5 Ge 0.046 0.954 0.093
6 Ge 0.954 0.454 0.907
7 Dy 0.481 0.755 0.962
8 Dy 0.519 0.255 0.038
9 Dy 0.825 0.237 0.650
10 Dy 0.175 0.737 0.350
11 Au 0.701 0.421 0.403
12 Au 0.053 0.564 0.105
13 Au 0.713 0.010 0.427
14 Au 0.880 0.726 0.761
15 Au 0.287 0.510 0.573
16 Au 0.397 0.430 0.795
17 Au 0.299 0.921 0.597
18 Au 0.120 0.226 0.239
19 Au 0.947 0.064 0.895
20 Au 0.603 0.930 0.205

Values from the calculation:
Formation energy from the elements   -499 kJ/mol of formula units
Total energy   -0.16395 Ha/atom

=====

The following is a DFT calculation (PBE-GGA) of a geometry-optimized DyGeAu structure.

a b c (Å): 4.477 4.477 7.319
angles (deg): 90.00 90.00 120.00
Positions (direct):
1 Dy 0.000 0.000 0.501
2 Dy 0.000 0.000 0.001
3 Ge 0.667 0.333 0.709
4 Ge 0.333 0.667 0.209
5 Au 0.333 0.667 0.790
6 Au 0.667 0.333 0.291

Values from the calculation:
Formation energy from the elements   -241 kJ/mol of formula units
Total energy   -0.18366 Ha/atom

=====

Which of these has the highest formation energy from the elements? number 3

=====

Which of these has the lowest total energy? Dy3Ge2Au

=====

What is the formula in the fifth record? DyGeAu2